No. 1
Below is crystalline BaBe3Se at its relaxed geometry, with properties calculated at the PBE-GGA level.

Cell and atoms, written as POSCAR:
```
BaBe3Se
1.0
-3.549 4.314 0.449
-2.130 -1.228 -5.037
-3.779 -3.360 2.417
Be Se Ba
3 1 1
Cartesian
-1.775 2.157 0.225
-1.889 -1.680 1.209
-1.065 -0.614 -2.518
-4.729 -0.137 -1.085
0.000 0.000 0.000
```

Calculated values
E_form (uncorrected) = 2.10 eV per atom
E above lowest polymorph = 6.456 eV per formula unit
Magnetization = 0.00 μB/cell
Mass density = 2.29 Mg/m³
Crystal system = cubic

No. 2
Below is crystalline NaGa3Bi at its relaxed geometry, with properties calculated at the PBE-GGA level.

Cell and atoms, written as POSCAR:
```
NaGa3Bi
1.0
5.643 0.000 0.000
0.000 5.643 0.000
0.000 0.000 5.643
Bi Ga Na
1 3 1
Cartesian
0.000 0.000 0.000
2.822 0.000 0.000
0.000 0.000 2.822
0.000 2.822 0.000
2.822 2.822 2.822
```

Calculated values
E above lowest polymorph = 0.000 eV per formula unit
Magnetization = 0.00 μB/cell
Mass density = 4.08 Mg/m³
Crystal system = cubic

No. 3
Below is crystalline BaBiPd4 at its relaxed geometry, with properties calculated at the PBE-GGA level.

Cell and atoms, written as POSCAR:
```
BaBiPd4
1.0
4.420 0.000 0.000
0.000 8.504 0.000
0.000 0.000 7.809
Bi Ba Pd
2 2 8
Cartesian
0.000 2.013 5.857
0.000 6.492 1.952
0.000 5.679 5.857
0.000 2.826 1.952
2.210 6.670 0.384
0.000 0.000 0.000
2.210 0.477 1.952
2.210 8.028 5.857
2.210 6.670 3.520
2.210 1.834 4.288
0.000 0.000 3.904
2.210 1.834 7.425
```

Calculated values
E above lowest polymorph = 0.000 eV per formula unit
Magnetization = 0.00 μB/cell
Mass density = 8.73 Mg/m³
Crystal system = orthorhombic

No. 4
Below is crystalline BaSr2VN4 at its relaxed geometry, with properties calculated at the PBE-GGA level.

Cell and atoms, written as POSCAR:
```
BaSr2VN4
1.0
6.003 0.000 0.000
0.000 6.773 0.000
0.000 0.000 7.939
N Sr Ba V
8 4 2 2
Cartesian
4.825 5.253 3.970
2.751 0.553 3.970
2.372 4.723 2.433
1.823 1.520 0.000
2.372 4.723 5.506
5.753 6.220 0.000
5.373 2.050 1.536
5.373 2.050 6.403
2.899 2.271 2.055
2.899 2.271 5.884
5.901 4.501 6.024
5.901 4.501 1.915
5.858 0.848 3.970
2.856 5.925 0.000
0.036 1.275 0.000
3.038 5.498 3.970
```

Calculated values
E_form (uncorrected) = -0.76 eV per atom
Magnetization = 2.07 μB/cell
Mass density = 4.32 Mg/m³
Crystal system = orthorhombic

No. 5
Below is crystalline CrSb at its relaxed geometry, with properties calculated at the PBE-GGA level.

Cell and atoms, written as POSCAR:
```
CrSb
1.0
-4.998 -6.333 -0.454
2.818 -2.769 7.612
-6.704 4.983 4.294
Sb Cr
16 16
Cartesian
-2.511 1.665 4.419
-5.283 -1.233 3.455
0.568 -0.558 1.535
-1.380 -1.856 5.135
-7.231 -2.531 7.055
-6.141 2.020 3.476
-1.375 0.549 7.488
-0.522 -5.109 5.114
-4.152 -4.754 4.171
-1.658 -3.993 2.045
2.250 -2.211 6.078
-0.244 -2.973 8.204
-6.095 -3.647 10.125
-5.288 -3.638 1.102
-3.601 -2.886 7.998
-5.005 0.904 6.545
-1.894 -2.400 -0.172
-7.745 -3.075 1.748
-2.984 -6.951 3.407
0.804 -2.151 3.751
-1.616 -0.263 2.918
-7.467 -0.938 4.839
-5.047 -2.826 5.672
-3.916 -6.347 6.388
-4.769 -0.689 8.762
-2.826 -1.796 2.808
-2.706 -4.814 6.498
-3.837 -1.293 5.782
-8.677 -2.471 4.729
-3.104 -3.933 -0.282
-3.957 1.725 2.092
-3.559 0.844 8.872
```

Calculated values
E_form (uncorrected) = 0.46 eV per atom
Magnetization = 0.00 μB/cell
Mass density = 7.09 Mg/m³
Crystal system = orthorhombic

No. 6
Below is crystalline SiHg8 at its relaxed geometry, with properties calculated at the PBE-GGA level.

Cell and atoms, written as POSCAR:
```
SiHg8
1.0
-4.640 4.640 2.600
4.640 -4.640 2.600
4.640 4.640 -2.600
Hg Si
8 1
Cartesian
1.530 -1.530 2.600
0.000 6.316 0.000
-1.530 1.530 2.600
6.316 0.000 0.000
2.964 0.000 0.000
0.000 2.964 0.000
1.530 1.530 2.600
3.110 3.110 0.000
0.000 0.000 0.000
```

Calculated values
E_form (uncorrected) = 0.21 eV per atom
Magnetization = 0.00 μB/cell
Mass density = 12.11 Mg/m³
Crystal system = tetragonal

No. 7
Below is crystalline NiAg2Br at its relaxed geometry, with properties calculated at the PBE-GGA level.

Cell and atoms, written as POSCAR:
```
NiAg2Br
1.0
-0.500 1.613 -4.621
3.747 -3.148 0.503
-2.041 -2.535 -0.664
Ni Br Ag
1 1 2
Cartesian
0.853 -2.841 -0.081
-1.270 -0.461 -2.642
0.000 0.000 0.000
1.623 -0.767 -2.059
```

Calculated values
E_form (uncorrected) = 0.47 eV per atom
E above lowest polymorph = 1.235 eV per formula unit
Magnetization = 0.00 μB/cell
Mass density = 7.93 Mg/m³
Crystal system = orthorhombic

No. 8
Below is crystalline ZnSe2Br at its relaxed geometry, with properties calculated at the PBE-GGA level.

Cell and atoms, written as POSCAR:
```
ZnSe2Br
1.0
-1.059 4.755 5.691
-3.936 5.181 3.712
-2.730 -2.351 3.464
Br Se Zn
1 2 1
Cartesian
-1.629 0.684 2.516
-6.040 7.302 10.354
-7.416 7.089 12.310
-4.228 3.887 6.985
```

Calculated values
E_form (uncorrected) = -0.21 eV per atom
E above lowest polymorph = 0.332 eV per formula unit
Magnetization = 0.00 μB/cell
Mass density = 4.14 Mg/m³
Crystal system = monoclinic

No. 9
Below is crystalline Mg4In3Ga at its relaxed geometry, with properties calculated at the PBE-GGA level.

Cell and atoms, written as POSCAR:
```
Mg4In3Ga
1.0
3.537 0.000 0.000
0.000 3.537 0.000
0.000 0.000 14.447
Mg In Ga
4 3 1
Cartesian
0.000 0.000 1.588
0.000 0.000 5.325
0.000 0.000 9.122
0.000 0.000 12.859
1.768 1.768 10.973
1.768 1.768 3.474
1.768 1.768 7.223
1.768 1.768 0.000
```

Calculated values
Magnetization = 0.00 μB/cell
Mass density = 4.70 Mg/m³
Final energy = -18.3 eV per cell
Crystal system = tetragonal

No. 10
Below is crystalline K2Cd6InPt at its relaxed geometry, with properties calculated at the PBE-GGA level.

Cell and atoms, written as POSCAR:
```
K2Cd6InPt
1.0
-5.560 -4.960 -2.487
-1.555 -1.933 7.331
-6.831 7.405 0.503
In Cd Pt K
2 12 2 4
Cartesian
-3.396 -3.246 1.662
-4.354 2.536 4.677
-5.323 -5.093 2.683
-5.953 0.908 6.937
-4.778 -1.046 0.361
-3.842 -3.442 -1.512
-2.973 0.335 5.978
-6.340 3.985 6.226
-2.199 -2.306 4.080
-8.242 2.710 0.617
-5.551 1.596 2.259
-9.469 -2.229 5.364
-1.798 -1.618 -0.598
-7.988 -0.578 1.169
-6.352 1.029 -0.256
-1.399 -1.739 6.596
-1.842 0.997 2.129
-5.909 -1.707 4.210
-5.849 5.341 2.425
-8.733 1.354 4.418
```

Calculated values
Magnetization = 0.00 μB/cell
Mass density = 5.75 Mg/m³
Final energy = -35.4 eV per cell
Crystal system = orthorhombic

No. 11
Below is crystalline LiSc3Ta at its relaxed geometry, with properties calculated at the PBE-GGA level.

Cell and atoms, written as POSCAR:
```
LiSc3Ta
1.0
-0.635 2.840 3.770
-4.651 -1.027 -0.010
0.807 -3.683 2.911
Sc Ta Li
3 1 1
Cartesian
0.404 -1.841 1.455
-2.325 -0.514 -0.005
-0.318 1.420 1.885
-2.239 -0.935 3.335
0.000 0.000 0.000
```

Calculated values
E above lowest polymorph = 1.033 eV per formula unit
Magnetization = 0.00 μB/cell
Mass density = 4.96 Mg/m³
Crystal system = cubic

No. 12
Below is crystalline SrIn2Ru at its relaxed geometry, with properties calculated at the PBE-GGA level.

Cell and atoms, written as POSCAR:
```
SrIn2Ru
1.0
7.704 0.000 0.003
5.736 5.143 -0.003
-6.447 -3.285 2.645
Sr Ru In
1 1 2
Cartesian
3.941 2.572 1.321
6.854 2.622 0.000
0.076 0.029 0.000
2.843 -0.795 1.324
```

Calculated values
Magnetization = 0.00 μB/cell
Mass density = 6.63 Mg/m³
Final energy = -16.6 eV per cell
Crystal system = orthorhombic

No. 13
Below is crystalline Rb2Ag2F at its relaxed geometry, with properties calculated at the PBE-GGA level.

Cell and atoms, written as POSCAR:
```
Rb2Ag2F
1.0
-1.925 4.790 -5.180
-6.942 -2.242 0.507
-1.075 4.324 4.398
Rb Ag F
4 4 2
Cartesian
-6.226 -0.329 -1.198
-2.641 2.877 -3.474
-6.346 2.338 -3.850
-2.521 0.210 -0.823
-7.778 3.245 -0.636
-4.761 5.494 -2.109
-2.163 3.627 0.361
-5.181 1.378 1.835
-4.434 1.274 -2.336
0.000 0.000 0.000
```

Calculated values
E_form (uncorrected) = -0.64 eV per atom
E above lowest polymorph = 1.377 eV per formula unit
Magnetization = 0.00 μB/cell
Mass density = 4.02 Mg/m³
Crystal system = tetragonal

No. 14
Below is crystalline Cd3In2Hg6 at its relaxed geometry, with properties calculated at the PBE-GGA level.

Cell and atoms, written as POSCAR:
```
Cd3In2Hg6
1.0
-1.666 -3.621 -2.518
2.346 -3.007 2.771
-11.229 2.515 8.226
Hg Cd In
6 3 2
Cartesian
-10.279 -2.503 5.986
-8.272 -2.196 8.631
-5.348 -0.392 4.102
-5.200 -3.720 4.377
-2.276 -1.916 -0.152
-0.270 -1.609 2.493
-3.087 -0.227 2.368
0.000 0.000 0.000
-7.461 -3.886 6.111
-2.885 -3.550 2.601
-7.663 -0.562 5.878
```

Calculated values
E above lowest polymorph = 0.461 eV per formula unit
Magnetization = 0.00 μB/cell
Mass density = 9.62 Mg/m³
Crystal system = tetragonal

No. 15
Below is crystalline Ga2BiAs at its relaxed geometry, with properties calculated at the PBE-GGA level.

Cell and atoms, written as POSCAR:
```
Ga2BiAs
1.0
4.305 0.000 0.000
-2.152 3.728 0.000
0.000 2.485 7.110
Ga As Bi
2 1 1
Cartesian
2.152 3.728 2.491
0.000 4.971 6.373
2.152 3.728 0.001
0.000 4.971 3.577
```

Calculated values
E above lowest polymorph = 0.150 eV per formula unit
Magnetization = 0.00 μB/cell
Mass density = 6.16 Mg/m³
Crystal system = trigonal

No. 16
Below is crystalline Rb5Au2O2 at its relaxed geometry, with properties calculated at the PBE-GGA level.

Cell and atoms, written as POSCAR:
```
Rb5Au2O2
1.0
5.559 0.000 0.000
0.000 5.559 0.000
0.000 0.000 10.781
Au Rb O
2 5 2
Cartesian
0.000 0.000 0.000
0.000 0.000 5.390
2.779 0.000 2.355
2.779 2.779 5.390
0.000 2.779 2.355
2.779 0.000 8.426
0.000 2.779 8.426
2.779 2.779 7.914
2.779 2.779 2.866
```

Calculated values
E_form (uncorrected) = -0.60 eV per atom
Magnetization = 1.00 μB/cell
Mass density = 4.25 Mg/m³
Crystal system = tetragonal

No. 17
Below is crystalline KYBe2 at its relaxed geometry, with properties calculated at the PBE-GGA level.

Cell and atoms, written as POSCAR:
```
KYBe2
1.0
-2.293 -4.354 -3.287
2.549 -1.058 -5.235
0.567 0.177 5.888
Be K Y
2 1 1
Cartesian
-0.784 -3.767 -1.342
0.243 -5.139 -8.090
0.135 -2.854 -4.492
1.613 -1.595 -1.492
```

Calculated values
E above lowest polymorph = 1.184 eV per formula unit
Magnetization = 0.00 μB/cell
Mass density = 2.79 Mg/m³
Crystal system = orthorhombic

No. 18
Below is crystalline Rb2ZrICl6 at its relaxed geometry, with properties calculated at the PBE-GGA level.

Cell and atoms, written as POSCAR:
```
Rb2ZrICl6
1.0
8.627 0.000 0.000
0.000 8.627 0.000
4.313 4.313 5.576
I Cl Rb Zr
1 6 2 1
Cartesian
0.000 0.000 0.000
4.313 4.313 2.497
6.070 2.557 0.000
6.070 6.070 0.000
8.627 8.627 3.079
2.557 2.557 0.000
2.557 6.070 0.000
8.627 4.313 2.788
4.313 8.627 2.788
4.313 4.313 0.000
```

Calculated values
E_form (uncorrected) = -1.54 eV per atom
Magnetization = 1.00 μB/cell
Mass density = 2.41 Mg/m³
Crystal system = tetragonal

No. 19
Below is crystalline AgBi2O at its relaxed geometry, with properties calculated at the PBE-GGA level.

Cell and atoms, written as POSCAR:
```
AgBi2O
1.0
-5.222 1.294 -0.533
-1.333 -5.226 0.374
-3.843 -1.312 7.048
Bi Ag O
4 2 2
Cartesian
-2.930 -3.313 1.880
-3.908 -0.292 1.525
-5.464 -2.942 5.261
-8.495 -3.941 5.112
-6.172 -0.992 3.218
0.000 0.000 0.000
-4.227 -4.252 3.671
-3.278 -1.966 -0.079
```

Calculated values
E_form (uncorrected) = -0.13 eV per atom
Magnetization = 0.00 μB/cell
Mass density = 8.57 Mg/m³
Crystal system = tetragonal

No. 20
Below is crystalline Co3Te at its relaxed geometry, with properties calculated at the PBE-GGA level.

Cell and atoms, written as POSCAR:
```
Co3Te
1.0
3.645 -4.371 0.000
3.645 4.371 0.000
0.000 0.000 4.015
Co Te
6 2
Cartesian
2.480 2.650 3.011
3.645 3.843 1.004
3.645 -3.843 3.011
4.810 2.650 3.011
4.810 -2.650 1.004
2.480 -2.650 1.004
3.645 1.302 1.004
3.645 -1.302 3.011
```

Calculated values
E_form (uncorrected) = 0.34 eV per atom
Magnetization = 8.71 μB/cell
Mass density = 7.90 Mg/m³
Crystal system = orthorhombic